# 1
VASP calculation (PBE-GGA) on Sc2GaHg after structural relaxation.

```
Sc2GaHg
1.0
3.4011 0.0000 0.0000
0.0000 3.4011 0.0000
0.0000 0.0000 7.0638
Sc Ga Hg
2 1 1
Direct
0.0000 0.0000 0.7653
0.0000 0.0000 0.2347
0.5000 0.5000 0.0000
0.5000 0.5000 0.5000
```

Properties
DFT total energy (eV/cell): -18.04
Energy relative to the elements (eV/atom): -0.511
Density of states at the Fermi level (states/eV/atom): 0.77
Space group: P4/mmm (123)

=====

# 2
VASP calculation (PBE-GGA) on Y2BeCrOs after structural relaxation.

```
Y2BeCrOs
1.0
5.0440 0.0000 0.0000
0.0000 4.0395 0.0000
0.0000 0.0000 5.0440
Y Cr Be Os
2 1 1 1
Direct
0.5000 0.0000 0.0000
0.0000 0.0000 0.5000
0.0000 0.5000 0.0000
0.0000 0.0000 0.0000
0.5000 0.5000 0.5000
```

Properties
DFT total energy (eV/cell): -33.91
Energy relative to the elements (eV/atom): 0.720
Density of states at the Fermi level (states/eV/atom): 0.68
Space group: P4/mmm (123)

=====

# 3
VASP calculation (PBE-GGA) on AcGeRu2 after structural relaxation.

```
AcGeRu2
1.0
4.4085 0.0000 0.0000
2.2042 3.8178 0.0000
2.2042 1.2726 5.3393
Ac Ru Ge
1 2 1
Direct
0.0000 0.0000 0.0000
0.1885 0.1885 0.4345
0.8115 0.8115 0.5655
0.5000 0.5000 0.5000
```

Properties
DFT total energy (eV/cell): -28.22
Energy relative to the elements (eV/atom): -0.235
ΔE to the lowest computed polymorph (meV per atom): 0
Density of states at the Fermi level (states/eV/atom): 1.42
Space group: R-3m (166)

=====

# 4
VASP calculation (PBE-GGA) on Sr2CaPbBr8 after structural relaxation.

```
Sr2CaPbBr8
1.0
-5.9802 -0.7291 3.8936
-3.6218 -0.8727 -5.7822
1.4177 -9.0621 0.4800
Ca Br Sr Pb
1 8 2 1
Direct
0.0000 0.0000 0.0000
0.8442 0.2294 0.7596
0.8442 0.2294 0.2404
0.1558 0.7706 0.7596
0.6704 0.7422 0.0000
0.3296 0.2578 0.0000
0.3444 0.2616 0.5000
0.6556 0.7384 0.5000
0.1558 0.7706 0.2404
0.5000 0.5000 0.7539
0.5000 0.5000 0.2461
0.0000 0.0000 0.5000
```

Properties
DFT total energy (eV/cell): -43.88
Uncorrected formation energy (eV per formula unit): -21.43
Density of states at the Fermi level (states/eV/atom): 0.00
Space group: P2/m (10)